Record 1
DFT (GGA-PBE) results for a relaxed AlP2Se crystal.

Calculated values
The uncorrected formation energy comes out at -0.100 eV/atom. As for the excess energy over the best structure of this formula in the dataset: 0.062 eV per atom.

Unit cell a=3.3070 b=3.3070 c=8.4924 alpha=90.00 beta=90.00 gamma=90.00
Closest atoms and distances in Å follow each position.
Fractional coordinates of all 4 atoms:
P  0.0000  0.0000  0.1079  4 P 2.45
P  0.5000  0.5000  0.0228  1 Al 2.38, 4 P 2.45
Al  0.5000  0.5000  0.7420  1 P 2.38, 4 Se 2.53
Se  0.0000  0.0000  0.6273  4 Al 2.53

***

Record 2
DFT (GGA-PBE) results for a relaxed HfV2Sb crystal.

Calculated values
The uncorrected formation energy comes out at 0.601 eV/atom. As for the excess energy over the best structure of this formula in the dataset: 0.669 eV per atom.

Unit cell a=7.4162 b=7.4162 c=5.9500 alpha=51.45 beta=51.45 gamma=90.00
Closest atoms and distances in Å follow each position.
Fractional coordinates of all 8 atoms:
Sb  0.5000  0.5000  0.0000  4 V 2.64, 2 Hf 2.81
Sb  0.2500  0.7500  0.5000  4 V 2.64, 2 Hf 2.81
Hf  0.0000  0.0000  0.0000  4 V 2.79, 2 Sb 2.81
Hf  0.7500  0.2500  0.5000  4 V 2.79, 2 Sb 2.81
V  0.6098  0.1250  0.2500  2 Sb 2.64, 2 Hf 2.79, 2 V 2.82
V  0.1402  0.6250  0.2500  2 Sb 2.64, 2 Hf 2.79, 2 V 2.82
V  0.3750  0.3902  0.7500  2 Sb 2.64, 2 Hf 2.79, 2 V 2.82
V  0.8750  0.8598  0.7500  2 Sb 2.64, 2 Hf 2.79, 2 V 2.82

***

Record 3
DFT (GGA-PBE) results for a relaxed NaLa2Y crystal.

Calculated values
Its formation energy is 12 kJ/mol of atoms. As for the excess energy over the best structure of this formula in the dataset: 0.058 eV per atom.

Unit cell a=3.6144 b=3.6144 c=13.2756 alpha=82.18 beta=82.18 gamma=60.00
Closest atoms and distances in Å follow each position.
Fractional coordinates of all 4 atoms:
Y  0.5000  0.5000  0.5000  6 La 3.60, 6 Y 3.61
Na  0.0000  0.0000  0.0000  6 Na 3.61, 2 La 3.62
La  0.0921  0.0921  0.7238  3 Y 3.60, 6 La 3.61, 1 Na 3.62
La  0.9079  0.9079  0.2762  3 Y 3.60, 6 La 3.61, 1 Na 3.62

***

Record 4
DFT (GGA-PBE) results for a relaxed RbLiAlI5 crystal.

Calculated values
The uncorrected formation energy comes out at -1.010 eV/atom.

Unit cell a=8.7975 b=8.7975 c=10.1370 alpha=102.61 beta=102.61 gamma=103.60
Closest atoms and distances in Å follow each position.
Fractional coordinates of all 16 atoms:
Rb  0.3310  0.6690  0.2500  7 I 3.67-3.96
Rb  0.6690  0.3310  0.7500  7 I 3.67-3.96
Li  0.0000  0.0000  0.5000  2 I 2.69
Li  0.0000  0.0000  0.0000  2 I 2.69
Al  0.6699  0.3301  0.2500  4 I 2.57-2.58
Al  0.3301  0.6699  0.7500  4 I 2.57-2.58
I  0.0659  0.9341  0.2500  2 Li 2.69
I  0.9341  0.0659  0.7500  2 Li 2.69
I  0.8958  0.3410  0.1247  1 Al 2.58
I  0.1042  0.6590  0.8753  1 Al 2.58
I  0.6590  0.1042  0.3753  1 Al 2.58
I  0.3410  0.8958  0.6247  1 Al 2.58
I  0.7313  0.6014  0.4395  1 Al 2.57
I  0.2687  0.3986  0.5605  1 Al 2.57
I  0.3986  0.2687  0.0605  1 Al 2.57
I  0.6014  0.7313  0.9395  1 Al 2.57

***

Copy entry 4 word for word.
DFT (GGA-PBE) results for a relaxed RbLiAlI5 crystal.

Calculated values
The uncorrected formation energy comes out at -1.010 eV/atom.

Unit cell a=8.7975 b=8.7975 c=10.1370 alpha=102.61 beta=102.61 gamma=103.60
Closest atoms and distances in Å follow each position.
Fractional coordinates of all 16 atoms:
Rb  0.3310  0.6690  0.2500  7 I 3.67-3.96
Rb  0.6690  0.3310  0.7500  7 I 3.67-3.96
Li  0.0000  0.0000  0.5000  2 I 2.69
Li  0.0000  0.0000  0.0000  2 I 2.69
Al  0.6699  0.3301  0.2500  4 I 2.57-2.58
Al  0.3301  0.6699  0.7500  4 I 2.57-2.58
I  0.0659  0.9341  0.2500  2 Li 2.69
I  0.9341  0.0659  0.7500  2 Li 2.69
I  0.8958  0.3410  0.1247  1 Al 2.58
I  0.1042  0.6590  0.8753  1 Al 2.58
I  0.6590  0.1042  0.3753  1 Al 2.58
I  0.3410  0.8958  0.6247  1 Al 2.58
I  0.7313  0.6014  0.4395  1 Al 2.57
I  0.2687  0.3986  0.5605  1 Al 2.57
I  0.3986  0.2687  0.0605  1 Al 2.57
I  0.6014  0.7313  0.9395  1 Al 2.57

***

- Number 3 is which compound?
  NaLa2Y